This record from the Alexandria database describes a geometry-optimized La2SbSe6 structure. The functional is PBE-GGA.

Values from the calculation:
N(E_F) (states/eV per cell): 7.0
Energy (eV/atom): -4.97
Calculated volume (Å³ per atom): 26.90
ΔE_f (raw) (eV/atom): -1.0937
Density (kg/m³): 5990

```
18
Lattice="6.038 0.000 0.189 0.000 8.020 0.000 -0.535 0.000 9.982" Properties=species:S:1:pos:R:3 pbc="T T T"
La 5.192 3.128 7.593
La 3.063 7.138 7.664
La 2.440 0.882 2.507
La 0.311 4.892 2.579
Sb 3.019 4.010 0.095
Sb -0.267 0.000 4.991
Se 5.378 7.818 2.557
Se 4.715 5.504 5.467
Se 4.748 5.436 9.741
Se 3.507 1.426 5.515
Se 3.540 1.494 9.790
Se 3.412 3.808 2.719
Se 0.126 0.202 7.615
Se 0.788 2.516 4.705
Se 0.755 2.584 0.430
Se 1.997 6.594 4.656
Se 1.964 6.526 0.381
Se 2.092 4.212 7.453
```